# H3OsSe GGA-PBE relaxed
# DFT total energy, eV/atom: -3.306
# Crystal system: cubic
data_H3OsSe
_space_group_name_H-M_alt 'P m -3 m'
_space_group_IT_number 221
_space_group_name_Hall '-P 4 2 3'
_cell_length_a 3.613
_cell_length_b 3.613
_cell_length_c 3.613
_cell_angle_alpha 90.00
_cell_angle_beta 90.00
_cell_angle_gamma 90.00
loop_
_atom_site_label
_atom_site_type_symbol
_atom_site_fract_x
_atom_site_fract_y
_atom_site_fract_z
H1 H 0.000 0.000 0.500
Os1 Os 0.500 0.500 0.500
Se1 Se 0.000 0.000 0.000